# 1
A plane-wave DFT calculation with PBE-GGA was carried out for an optimized crystal structure of Nd4OsPdCl2.

Values from the calculation:
Magnetization   0.00 μB per atom
ΔE_f (raw)   -0.9823 eV per atom

Geometry as CIF:
```
data_Nd4OsPdCl2
_chemical_formula_sum 'Nd4 Os1 Pd1 Cl2'
_cell_length_a 4.1483
_cell_length_b 7.1207
_cell_length_c 7.9408
_cell_angle_alpha 107.13
_cell_angle_beta 90.00
_cell_angle_gamma 90.00
_space_group_name_H-M_alt 'P 1'
_space_group_IT_number 1
loop_
_space_group_symop_operation_xyz
'x,y,z'
loop_
_atom_site_label
_atom_site_type_symbol
_atom_site_fract_x
_atom_site_fract_y
_atom_site_fract_z
_atom_site_occupancy
Nd1 Nd 0.5000 0.2461 0.2062 1
Nd2 Nd 0.5000 0.7539 0.7938 1
Nd3 Nd 0.0000 0.2773 0.7917 1
Nd4 Nd 0.0000 0.7227 0.2083 1
Os1 Os 0.5000 0.5000 0.0000 1
Pd1 Pd 0.0000 0.0000 0.0000 1
Cl1 Cl 0.5000 0.0000 0.5000 1
Cl2 Cl 0.0000 0.5000 0.5000 1
```

# 2
A plane-wave DFT calculation with PBE-GGA was carried out for an optimized crystal structure of Tl2GeH2.

Values from the calculation:
Magnetization   0.00 μB per atom
E   -2.70 eV per atom

Geometry as CIF:
```
data_Tl2GeH2
_chemical_formula_sum 'Tl2 Ge1 H2'
_cell_length_a 3.6072
_cell_length_b 3.6072
_cell_length_c 7.3681
_cell_angle_alpha 75.83
_cell_angle_beta 75.83
_cell_angle_gamma 90.00
_space_group_name_H-M_alt 'P 1'
_space_group_IT_number 1
loop_
_space_group_symop_operation_xyz
'x,y,z'
loop_
_atom_site_label
_atom_site_type_symbol
_atom_site_fract_x
_atom_site_fract_y
_atom_site_fract_z
_atom_site_occupancy
H1 H 0.7500 0.2500 0.5000 1
H2 H 0.2500 0.7500 0.5000 1
Tl1 Tl 0.3535 0.3535 0.2929 1
Tl2 Tl 0.6465 0.6465 0.7071 1
Ge1 Ge 0.0000 0.0000 0.0000 1
```

# 3
A plane-wave DFT calculation with PBE-GGA was carried out for an optimized crystal structure of Er2MgBi.

Values from the calculation:
Magnetization   0.00 μB per atom
Energy of formation   0.134 eV per formula unit

Geometry as CIF:
```
data_Er2MgBi
_chemical_formula_sum 'Er2 Mg1 Bi1'
_cell_length_a 3.4956
_cell_length_b 3.4956
_cell_length_c 11.6306
_cell_angle_alpha 81.36
_cell_angle_beta 81.36
_cell_angle_gamma 60.00
_space_group_name_H-M_alt 'P 1'
_space_group_IT_number 1
loop_
_space_group_symop_operation_xyz
'x,y,z'
loop_
_atom_site_label
_atom_site_type_symbol
_atom_site_fract_x
_atom_site_fract_y
_atom_site_fract_z
_atom_site_occupancy
Mg1 Mg 0.5000 0.5000 0.5000 1
Bi1 Bi 0.0000 0.0000 0.0000 1
Er1 Er 0.0916 0.0916 0.7252 1
Er2 Er 0.9084 0.9084 0.2748 1
```

# 4
A plane-wave DFT calculation with PBE-GGA was carried out for an optimized crystal structure of ZrScCo2.

Values from the calculation:
Magnetization   0.71 μB per atom
Energy of formation   -0.068 eV per formula unit

Geometry as CIF:
```
data_ZrScCo2
_chemical_formula_sum 'Zr1 Sc1 Co2'
_cell_length_a 2.9870
_cell_length_b 2.9870
_cell_length_c 7.5625
_cell_angle_alpha 90.00
_cell_angle_beta 90.00
_cell_angle_gamma 90.00
_space_group_name_H-M_alt 'P 1'
_space_group_IT_number 1
loop_
_space_group_symop_operation_xyz
'x,y,z'
loop_
_atom_site_label
_atom_site_type_symbol
_atom_site_fract_x
_atom_site_fract_y
_atom_site_fract_z
_atom_site_occupancy
Co1 Co 0.0000 0.0000 0.0493 1
Co2 Co 0.5000 0.5000 0.2048 1
Sc1 Sc 0.0000 0.0000 0.4399 1
Zr1 Zr 0.5000 0.5000 0.8060 1
```